No. 1
## NiF (GGA+U)

Data for an optimized crystal structure of NiF. Values from VASP.

Cell and atoms, written as Quantum ESPRESSO input:
```
&SYSTEM
  ibrav = 0, nat = 2, ntyp = 2
/
ATOMIC_SPECIES
Ni 58.69 Ni.upf
F 19.00 F.upf
CELL_PARAMETERS angstrom
0.000 2.285 2.285
2.285 0.000 2.285
2.285 2.285 0.000
ATOMIC_POSITIONS crystal
Ni 0.000 0.000 0.000
F 0.500 0.500 0.500
```

DOS(E_F) in states/eV/atom: 1.233
Distance to the lowest polymorph of the same formula in meV/atom: 466
Size of the total moment in μB/f.u.: 1.33
Crystal system: cubic
Uncorrected energy in eV/cell: -5.6

No. 2
## NiF3 (GGA+U)

Data for an optimized crystal structure of NiF3. Values from VASP.

Cell and atoms, written as Quantum ESPRESSO input:
```
&SYSTEM
  ibrav = 0, nat = 4, ntyp = 2
/
ATOMIC_SPECIES
Ni 58.69 Ni.upf
F 19.00 F.upf
CELL_PARAMETERS angstrom
1.578 0.911 6.289
-1.578 0.911 6.289
0.000 -1.822 6.289
ATOMIC_POSITIONS crystal
Ni 0.000 0.000 0.000
F 0.382 0.382 0.382
F 0.500 0.500 0.500
F 0.618 0.618 0.618
```

DOS(E_F) in states/eV/atom: 0.000
Size of the total moment in μB/f.u.: 1.00
Crystal system: trigonal
Uncorrected energy in eV/cell: -13.5

No. 3
## NiF (GGA+U)

Data for an optimized crystal structure of NiF. Values from VASP.

Cell and atoms, written as Quantum ESPRESSO input:
```
&SYSTEM
  ibrav = 0, nat = 12, ntyp = 2
/
ATOMIC_SPECIES
Ni 58.69 Ni.upf
F 19.00 F.upf
CELL_PARAMETERS angstrom
2.763 0.000 0.000
0.000 10.256 0.000
0.000 0.000 5.172
ATOMIC_POSITIONS crystal
Ni 0.250 0.131 0.120
Ni 0.250 0.369 0.120
Ni 0.250 0.750 0.243
Ni 0.750 0.250 0.757
Ni 0.750 0.631 0.880
Ni 0.750 0.869 0.880
F 0.250 0.250 0.469
F 0.250 0.551 0.238
F 0.250 0.949 0.238
F 0.750 0.051 0.762
F 0.750 0.449 0.762
F 0.750 0.750 0.531
```

DOS(E_F) in states/eV/atom: 0.151
Distance to the lowest polymorph of the same formula in meV/atom: 6
Size of the total moment in μB/f.u.: 1.43
Crystal system: orthorhombic
Uncorrected energy in eV/cell: -39.1

No. 4
## Ni6OF11 (GGA+U)

Data for an optimized crystal structure of Ni6OF11. Values from VASP.

Cell and atoms, written as Quantum ESPRESSO input:
```
&SYSTEM
  ibrav = 0, nat = 18, ntyp = 3
/
ATOMIC_SPECIES
Ni 58.69 Ni.upf
O 16.00 O.upf
F 19.00 F.upf
CELL_PARAMETERS angstrom
3.103 0.000 0.000
0.000 3.340 9.932
0.000 -3.340 9.932
ATOMIC_POSITIONS crystal
Ni 0.000 0.000 0.000
Ni 0.000 0.328 0.328
Ni 0.000 0.665 0.665
Ni 0.500 0.168 0.168
Ni 0.500 0.497 0.497
Ni 0.500 0.833 0.833
O 0.500 0.266 0.266
F 0.000 0.027 0.637
F 0.000 0.302 0.695
F 0.000 0.362 0.967
F 0.000 0.637 0.027
F 0.000 0.695 0.302
F 0.000 0.967 0.362
F 0.500 0.066 0.066
F 0.500 0.396 0.396
F 0.500 0.599 0.599
F 0.500 0.731 0.731
F 0.500 0.934 0.934
```

Size of the total moment in μB/f.u.: 13.00
Crystal system: orthorhombic
Uncorrected energy in eV/cell: -77.0

No. 5
## NiOF (GGA+U)

Data for an optimized crystal structure of NiOF. Values from VASP.

Cell and atoms, written as Quantum ESPRESSO input:
```
&SYSTEM
  ibrav = 0, nat = 6, ntyp = 3
/
ATOMIC_SPECIES
Ni 58.69 Ni.upf
O 16.00 O.upf
F 19.00 F.upf
CELL_PARAMETERS angstrom
3.062 0.000 0.000
0.000 4.746 0.000
0.000 0.000 4.604
ATOMIC_POSITIONS crystal
Ni 0.000 0.232 0.000
Ni 0.500 0.768 0.500
O 0.000 0.941 0.298
O 0.500 0.059 0.798
F 0.000 0.561 0.716
F 0.500 0.439 0.216
```

DOS(E_F) in states/eV/atom: 0.015
Distance to the lowest polymorph of the same formula in meV/atom: 0
Size of the total moment in μB/f.u.: 3.00
Crystal system: orthorhombic
Uncorrected energy in eV/cell: -25.7

No. 6
## Ni6OF11 (GGA+U)

Data for an optimized crystal structure of Ni6OF11. Values from VASP.

Cell and atoms, written as Quantum ESPRESSO input:
```
&SYSTEM
  ibrav = 0, nat = 18, ntyp = 3
/
ATOMIC_SPECIES
Ni 58.69 Ni.upf
O 16.00 O.upf
F 19.00 F.upf
CELL_PARAMETERS angstrom
4.702 0.000 0.000
0.044 5.633 0.000
0.043 0.501 7.771
ATOMIC_POSITIONS crystal
Ni 0.000 0.000 0.000
Ni 0.001 0.665 0.331
Ni 0.011 0.328 0.663
Ni 0.494 0.167 0.338
Ni 0.496 0.840 0.664
Ni 0.504 0.499 0.998
O 0.306 0.130 0.565
F 0.196 0.298 0.899
F 0.198 0.963 0.231
F 0.199 0.631 0.563
F 0.305 0.464 0.230
F 0.305 0.797 0.898
F 0.695 0.201 0.104
F 0.699 0.535 0.763
F 0.702 0.869 0.433
F 0.804 0.037 0.768
F 0.805 0.701 0.099
F 0.806 0.368 0.433
```

Size of the total moment in μB/f.u.: 13.00
Crystal system: triclinic
Uncorrected energy in eV/cell: -77.0